Record 1
{
  "formula": "GeRu2F2",
  "functional": "PBE-GGA",
  "state": "optimized geometry",
  "e_form_raw_ev_per_atom": -0.424,
  "final_energy_ev_per_atom": -5.8062,
  "crystal_system": "tetragonal",
  "e_above_lowest_polymorph_kcal_per_mol_atoms": 0.00,
  "cell": [[-2.5605, 1.6997, 1.2018], [-1.0062, -2.6783, 1.6442], [1.4237, 1.1110, 5.9923]],
  "species": ["Ru", "Ru", "Ge", "F", "F"],
  "frac_coords": [[0.3924, 0.3924, 0.2153], [0.6076, 0.6076, 0.7847], [0.0000, 0.0000, 0.0000], [0.7500, 0.2500, 0.5000], [0.2500, 0.7500, 0.5000]]
}

=====

Record 2
{
  "formula": "TbHo4In5",
  "functional": "PBE-GGA",
  "state": "optimized geometry",
  "e_form_ev_per_atom": -0.458,
  "final_energy_ev_per_atom": -4.1214,
  "crystal_system": "tetragonal",
  "cell": [[3.7308, 0.0000, 0.0000], [0.0000, 3.7308, 0.0000], [0.0000, 0.0000, 18.9803]],
  "species": ["Tb", "Ho", "Ho", "Ho", "Ho", "In", "In", "In", "In", "In"],
  "frac_coords": [[0.0000, 0.0000, 0.0000], [0.0000, 0.0000, 0.2014], [0.0000, 0.0000, 0.4005], [0.0000, 0.0000, 0.5995], [0.0000, 0.0000, 0.7986], [0.5000, 0.5000, 0.1019], [0.5000, 0.5000, 0.3010], [0.5000, 0.5000, 0.5000], [0.5000, 0.5000, 0.6990], [0.5000, 0.5000, 0.8981]]
}

=====

Record 3
{
  "formula": "CuSiAsCl2",
  "functional": "PBE-GGA",
  "state": "optimized geometry",
  "e_form_raw_ev_per_atom": 0.369,
  "final_energy_ev_per_atom": -3.2036,
  "crystal_system": "tetragonal",
  "cell": [[4.4965, 0.0000, 0.0000], [0.0000, 5.2212, 0.0000], [0.0000, 0.0000, 4.4965]],
  "species": ["As", "Si", "Cu", "Cl", "Cl"],
  "frac_coords": [[0.0000, 0.5000, 0.0000], [0.5000, 0.5000, 0.5000], [0.0000, 0.0000, 0.0000], [0.0000, 0.0000, 0.5000], [0.5000, 0.0000, 0.0000]]
}